1.
Ho2Al4CuPt after structural relaxation. Source: OQMD via LeMat-Bulk, functional PBE.

Geometry as CIF:
```
data_Ho2Al4CuPt
_chemical_formula_sum 'Ho4 Al8 Cu2 Pt2'
_cell_length_a 6.807
_cell_length_b 4.274
_cell_length_c 10.149
_cell_angle_alpha 90.00
_cell_angle_beta 90.00
_cell_angle_gamma 90.00
_symmetry_space_group_name_H-M 'A m m 2'
_symmetry_Int_Tables_number 38
_symmetry_space_group_name_Hall 'A 2 -2'
loop_
_atom_site_label
_atom_site_type_symbol
_atom_site_fract_x
_atom_site_fract_y
_atom_site_fract_z
Ho1 Ho 0.000 0.000 0.000
Ho2 Ho 0.500 0.000 0.148
Al1 Al 0.200 0.000 0.715
Al2 Al 0.305 0.000 0.436
Cu1 Cu 0.500 0.000 0.867
Pt1 Pt 0.000 0.000 0.284
```

Calculated values
M_tot = 0.0 Bohr magnetons per cell
DFT total energy = -4.969 eV per atom
crystal system = orthorhombic

2.
Ho2ScAl3CuSi2 after structural relaxation. Source: OQMD via LeMat-Bulk, functional PBE.

Geometry as CIF:
```
data_Ho2ScAl3CuSi2
_chemical_formula_sum 'Ho4 Sc2 Al6 Cu2 Si4'
_cell_length_a 4.097
_cell_length_b 11.747
_cell_length_c 6.848
_cell_angle_alpha 90.00
_cell_angle_beta 90.00
_cell_angle_gamma 90.00
_symmetry_space_group_name_H-M 'A m m 2'
_symmetry_Int_Tables_number 38
_symmetry_space_group_name_Hall 'A 2 -2'
loop_
_atom_site_label
_atom_site_type_symbol
_atom_site_fract_x
_atom_site_fract_y
_atom_site_fract_z
Ho1 Ho 0.000 0.204 0.000
Sc1 Sc 0.000 0.000 0.611
Al1 Al 0.500 0.000 0.967
Al2 Al 0.500 0.119 0.327
Cu1 Cu 0.000 0.000 0.217
Si1 Si 0.500 0.161 0.703
```

Calculated values
M_tot = 0.0 Bohr magnetons per cell
DFT total energy = -5.214 eV per atom
crystal system = orthorhombic